A plane-wave DFT calculation with PBE with a Hubbard U was carried out for a geometry-optimized Ac2CrMoO8 structure.

total moment	2.00	μB/f.u.
space group	P-1 (2)
calculated total energy	-90.9	eV for the cell shown

a = 6.288 Å, b = 5.407 Å, c = 6.006 Å
α = 103.57°, β = 77.37°, γ = 111.55°
Positions (direct):
Ac 0.656 0.379 0.683
Ac 0.344 0.621 0.317
Cr 0.000 0.000 0.500
Mo 0.000 0.000 0.000
O 0.065 0.796 0.191
O 0.687 0.761 0.019
O 0.939 0.224 0.308
O 0.935 0.204 0.809
O 0.313 0.239 0.981
O 0.061 0.776 0.692
O 0.683 0.791 0.528
O 0.317 0.209 0.472